Entry 1:
MgWIN2 after structural relaxation. Source: Alexandria via LeMat-Bulk, functional PBE.

Geometry as POSCAR:
```
MgWIN2
1.0
4.0036 0.0000 0.0000
0.0000 4.0036 0.0000
0.0000 0.0000 5.2587
Mg W I N
1 1 1 2
Direct
0.0000 0.0000 0.0000 Mg
0.5000 0.5000 0.5000 W
0.0000 0.0000 0.5000 I
0.0000 0.5000 0.0000 N
0.5000 0.0000 0.0000 N
```

- space-group type = P4/mmm, No. 123
- N(E_F) (states/eV/atom) = 1.203
- energy relative to the elements, uncorrected (eV per atom) = 2.13
- size of the total moment (μB/atom) = 0.25
- energy relative to the lowest polymorph listed for this composition (eV per atom) = 1.7205

***

Entry 2:
MgWIN2 after structural relaxation. Source: Alexandria via LeMat-Bulk, functional PBE.

Geometry as POSCAR:
```
MgWIN2
1.0
4.0001 0.0000 0.0000
0.0000 4.0001 0.0000
0.0000 0.0000 5.7609
Mg W I N
1 1 1 2
Direct
0.0000 0.0000 0.0000 Mg
0.5000 0.5000 0.5000 W
0.5000 0.5000 0.0000 I
0.0000 0.5000 0.5000 N
0.5000 0.0000 0.5000 N
```

- space-group type = P4/mmm, No. 123
- N(E_F) (states/eV/atom) = 0.581
- energy relative to the elements, uncorrected (eV per atom) = 0.41
- size of the total moment (μB/atom) = 0.01
- energy relative to the lowest polymorph listed for this composition (eV per atom) = 0.0000

***

Entry 3:
YMgI2N after structural relaxation. Source: Alexandria via LeMat-Bulk, functional PBE.

Geometry as POSCAR:
```
YMgI2N
1.0
6.2077 0.0000 0.0000
0.0000 6.2077 0.0000
0.0000 0.0000 4.1222
Y Mg I N
1 1 2 1
Direct
0.0000 0.0000 0.0000 Y
0.5000 0.5000 0.5000 Mg
0.0000 0.5000 0.0000 I
0.5000 0.0000 0.0000 I
0.0000 0.0000 0.5000 N
```

- space-group type = P4/mmm, No. 123
- N(E_F) (states/eV/atom) = 0.547
- energy relative to the elements, uncorrected (eV per atom) = -0.23
- size of the total moment (μB/atom) = 0.00
- energy relative to the lowest polymorph listed for this composition (eV per atom) = 0.0000

***

Entry 4:
YMgI2N after structural relaxation. Source: Alexandria via LeMat-Bulk, functional PBE.

Geometry as POSCAR:
```
YMgI2N
1.0
5.7203 0.0000 0.0000
0.0000 5.7203 0.0000
0.0000 0.0000 3.9094
Y Mg I N
1 1 2 1
Direct
0.0000 0.0000 0.0000 Y
0.5000 0.5000 0.5000 Mg
0.0000 0.5000 0.5000 I
0.5000 0.0000 0.5000 I
0.5000 0.5000 0.0000 N
```

- space-group type = P4/mmm, No. 123
- N(E_F) (states/eV/atom) = 1.003
- energy relative to the elements, uncorrected (eV per atom) = -0.01
- size of the total moment (μB/atom) = 0.04
- energy relative to the lowest polymorph listed for this composition (eV per atom) = 0.2234